# 1
# Hf3Ga4Ni2 PBE-GGA relaxed
data_Hf3Ga4Ni2
_cell_length_a 9.623
_cell_length_b 4.274
_cell_length_c 7.983
_cell_angle_alpha 90.00
_cell_angle_beta 116.84
_cell_angle_gamma 90.00
_symmetry_space_group_name_H-M 'C 1 2/m 1'
_symmetry_Int_Tables_number 12
loop_
_symmetry_equiv_pos_as_xyz
'x,y,z'
'-x,-y,-z'
'-x,y,-z'
'x,-y,z'
'x+1/2,y+1/2,z'
'-x+1/2,-y+1/2,-z'
'-x+1/2,y+1/2,-z'
'x+1/2,-y+1/2,z'
loop_
_atom_site_label
_atom_site_fract_x
_atom_site_fract_y
_atom_site_fract_z
_atom_site_occupancy
Hf1 0.000 0.000 0.000 1
Hf2 0.159 0.500 0.672 1
Ga1 0.077 0.000 0.401 1
Ga2 0.206 0.500 0.052 1
Ni1 0.112 0.500 0.283 1
# * spin magnetization: 0.0 μB/f.u.
# * energy of formation: -0.512 eV per atom
# * density: 10562 kg/m³

# 2
# RbSr2ZrRe PBE-GGA relaxed
data_RbSr2ZrRe
_cell_length_a 5.717
_cell_length_b 5.717
_cell_length_c 5.041
_cell_angle_alpha 90.00
_cell_angle_beta 90.00
_cell_angle_gamma 90.00
_symmetry_space_group_name_H-M 'P 4/m m m'
_symmetry_Int_Tables_number 123
_symmetry_space_group_name_Hall '-P 4 2'
loop_
_atom_site_label
_atom_site_fract_x
_atom_site_fract_y
_atom_site_fract_z
_atom_site_occupancy
Rb1 0.000 0.000 0.000 1
Sr1 0.000 0.500 0.000 1
Zr1 0.500 0.500 0.500 1
Re1 0.000 0.000 0.500 1
# * spin magnetization: 3.1 μB/f.u.
# * energy of formation: 2.118 eV per atom
# * density: 5424 kg/m³

# 3
# Ta2NiAu PBE-GGA relaxed
data_Ta2NiAu
_cell_length_a 3.955
_cell_length_b 3.955
_cell_length_c 8.222
_cell_angle_alpha 90.00
_cell_angle_beta 90.00
_cell_angle_gamma 90.00
_symmetry_space_group_name_H-M 'I 4/m m m'
_symmetry_Int_Tables_number 139
_symmetry_space_group_name_Hall '-I 4 2'
loop_
_atom_site_label
_atom_site_fract_x
_atom_site_fract_y
_atom_site_fract_z
_atom_site_occupancy
Ta1 0.000 0.500 0.250 1
Ni1 0.000 0.000 0.000 1
Au1 0.000 0.000 0.500 1
# * spin magnetization: 0.0 μB/f.u.
# * excess energy over the best structure of this formula in the dataset: 0.29 eV/f.u.
# * energy of formation: -0.072 eV per atom
# * density: 15951 kg/m³

# 4
# BaRu2Au PBE-GGA relaxed
data_BaRu2Au
_cell_length_a 4.312
_cell_length_b 4.312
_cell_length_c 4.535
_cell_angle_alpha 90.00
_cell_angle_beta 90.00
_cell_angle_gamma 90.00
_symmetry_space_group_name_H-M 'P 4/m m m'
_symmetry_Int_Tables_number 123
_symmetry_space_group_name_Hall '-P 4 2'
loop_
_atom_site_label
_atom_site_fract_x
_atom_site_fract_y
_atom_site_fract_z
_atom_site_occupancy
Ba1 0.000 0.000 0.000 1
Ru1 0.000 0.500 0.500 1
Au1 0.500 0.500 0.000 1
# * spin magnetization: 3.1 μB/f.u.
# * excess energy over the best structure of this formula in the dataset: 3.00 eV/f.u.
# * energy of formation: 0.879 eV per atom
# * density: 10565 kg/m³

# 5
# MnZnNiAs PBE-GGA relaxed
data_MnZnNiAs
_cell_length_a 3.232
_cell_length_b 3.232
_cell_length_c 5.310
_cell_angle_alpha 90.00
_cell_angle_beta 90.00
_cell_angle_gamma 90.00
_symmetry_space_group_name_H-M 'P 4 m m'
_symmetry_Int_Tables_number 99
loop_
_symmetry_equiv_pos_as_xyz
'x,y,z'
'-y,x,z'
'-x,-y,z'
'y,-x,z'
'-x,y,z'
'y,x,z'
'x,-y,z'
'-y,-x,z'
loop_
_atom_site_label
_atom_site_fract_x
_atom_site_fract_y
_atom_site_fract_z
_atom_site_occupancy
Mn1 0.000 0.000 0.000 1
Zn1 0.000 0.000 0.477 1
Ni1 0.500 0.500 0.268 1
As1 0.500 0.500 0.799 1
# * spin magnetization: 3.0 μB/f.u.
# * excess energy over the best structure of this formula in the dataset: 0.04 eV/f.u.
# * energy of formation: -0.054 eV per atom
# * density: 7605 kg/m³

# 6
# Zr2PaGe PBE-GGA relaxed
data_Zr2PaGe
_cell_length_a 3.5169
_cell_length_b 3.5169
_cell_length_c 25.5171
_cell_angle_alpha 90.00
_cell_angle_beta 90.00
_cell_angle_gamma 120.00
_symmetry_space_group_name_H-M 'R -3 m'
_symmetry_Int_Tables_number 166
_symmetry_space_group_name_Hall '-R 3 2"'
loop_
_atom_site_label
_atom_site_fract_x
_atom_site_fract_y
_atom_site_fract_z
_atom_site_occupancy
Zr1 0.0000 0.0000 0.2372 1
Pa1 0.0000 0.0000 0.0000 1
Ge1 0.0000 0.0000 0.5000 1
# * spin magnetization: 0.0 μB/f.u.
# * excess energy over the best structure of this formula in the dataset: 0.88 eV/f.u.
# * energy of formation: -0.100 eV per atom
# * density: 8860 kg/m³